No. 1
The following is a DFT calculation (GGA-PBE) of an optimized crystal structure of Ac8Ga3PtI4.

```
Ac8Ga3PtI4
1.0
9.3107 0.0000 0.0000
0.0000 9.7320 0.2920
-4.6554 -4.6568 6.5870
Ac Ga Pt I
8 3 1 4
Direct
0.2284 0.6981 0.9697
0.2286 0.6984 0.4573
0.2625 0.2874 0.5249
0.7413 0.6981 0.9697
0.2587 0.3019 0.0303
0.7375 0.7126 0.4751
0.7714 0.3016 0.5427
0.7716 0.3019 0.0303
0.5000 0.5000 0.0000
0.5000 0.5000 0.5000
0.0000 0.5000 0.5000
0.0000 0.5000 0.0000
0.5000 0.0000 0.0000
0.5000 0.0000 0.5000
0.0000 0.0000 0.0000
0.0000 0.0000 0.5000
```

Computed properties:
space-group type	R-3m (166)
E_form (uncorrected)	-13.52	eV per formula unit
total energy	-4.2319	eV/atom
size of the total moment	0.00	μB per formula unit


No. 2
The following is a DFT calculation (GGA-PBE) of an optimized crystal structure of Sr2CrS2.

```
Sr2CrS2
1.0
5.9252 0.0000 0.0000
0.0000 5.9252 0.0000
2.9626 2.9626 4.8914
Sr S Cr
2 2 1
Direct
0.7500 0.2500 0.5000
0.2500 0.7500 0.5000
0.2377 0.2377 0.5246
0.7623 0.7623 0.4754
0.0000 0.0000 0.0000
```

Computed properties:
space-group type	I4/mmm (139)
E_form (uncorrected)	-5.15	eV per formula unit
total energy	-5.2781	eV/atom
size of the total moment	4.03	μB per formula unit
energy above the most stable polymorph in this dataset	0.09	eV/f.u.


No. 3
The following is a DFT calculation (GGA-PBE) of an optimized crystal structure of RbCdOs2.

```
RbCdOs2
1.0
4.4346 0.0000 0.0000
0.0000 4.4346 0.0000
2.2173 2.2173 10.2187
Os Rb Cd
4 2 2
Direct
0.7602 0.1250 0.2500
0.9898 0.6250 0.2500
0.3750 0.2398 0.7500
0.8750 0.0102 0.7500
0.5000 0.5000 0.0000
0.2500 0.7500 0.5000
0.0000 0.0000 0.0000
0.7500 0.2500 0.5000
```

Computed properties:
space-group type	I-42d (122)
DFT formation energy	1.379	eV per atom
total energy	-4.7068	eV/atom
size of the total moment	0.00	μB per formula unit


No. 4
The following is a DFT calculation (GGA-PBE) of an optimized crystal structure of PmDyTlSb.

```
PmDyTlSb
1.0
-2.5889 -2.8583 -3.8135
-2.0701 -4.8679 1.1972
-5.3749 -0.6643 0.2902
Sb Tl Pm Dy
1 1 1 1
Direct
0.5000 0.5000 0.5000
0.0000 0.0000 0.0000
0.7500 0.7500 0.7500
0.2500 0.2500 0.2500
```

Computed properties:
space-group type	F-43m (216)
E_form (uncorrected)	-2.12	eV per formula unit
total energy	-4.4912	eV/atom
size of the total moment	0.00	μB per formula unit


No. 5
The following is a DFT calculation (GGA-PBE) of an optimized crystal structure of Zn2CrTc.

```
Zn2CrTc
1.0
-0.2764 -3.2954 -2.7344
2.2794 0.6378 -0.9991
3.4225 -2.5956 2.7822
Cr Tc Zn
1 1 2
Direct
0.5000 0.2500 0.2500
0.5000 0.7500 0.7500
0.0000 0.0141 0.0043
0.0000 0.4859 0.4957
```

Computed properties:
space-group type	P2/m (10)
DFT formation energy	0.180	eV per atom
total energy	-5.4539	eV/atom
size of the total moment	0.79	μB per formula unit
energy above the most stable polymorph in this dataset	0.56	eV/f.u.


No. 6
The following is a DFT calculation (GGA-PBE) of an optimized crystal structure of Ce7Pu2Ru2.

```
Ce7Pu2Ru2
1.0
4.6700 0.4327 2.0716
3.2562 7.4516 1.3273
0.9058 -0.0362 8.1895
Ce Pu Ru
7 2 2
Direct
0.1355 0.1389 0.5347
0.8645 0.4653 0.8611
0.8645 0.8611 0.4653
0.1355 0.5347 0.1389
0.0000 0.0000 0.0000
0.5199 0.3746 0.3746
0.4801 0.6254 0.6254
0.7783 0.8220 0.8220
0.2217 0.1780 0.1780
0.5000 0.7745 0.2255
0.5000 0.2255 0.7745
```

Computed properties:
space-group type	C2/m (12)
DFT formation energy	-0.093	eV per atom
total energy	-8.1614	eV/atom
size of the total moment	11.10	μB per formula unit


No. 7
The following is a DFT calculation (GGA-PBE) of an optimized crystal structure of Bi3SeBr7.

```
Bi3SeBr7
1.0
-5.7582 0.4539 -4.1416
-0.2527 -8.3888 -0.5682
-4.1385 3.9232 6.1838
Bi Se Br
3 1 7
Direct
0.7772 0.4950 0.5050
0.7772 0.4950 0.9899
0.7772 0.0101 0.5050
0.5488 0.3333 0.6667
0.0154 0.1713 0.8287
0.0154 0.1713 0.3425
0.0324 0.6667 0.3333
0.5521 0.8297 0.1703
0.5521 0.3405 0.1703
0.5521 0.8297 0.6595
0.0154 0.6575 0.8287
```

Computed properties:
space-group type	P3m1 (156)
E_form (uncorrected)	-7.59	eV per formula unit
total energy	-3.1295	eV/atom
size of the total moment	0.00	μB per formula unit


No. 8
The following is a DFT calculation (GGA-PBE) of an optimized crystal structure of Tb2NdDy5Ho.

```
Tb2NdDy5Ho
1.0
8.9143 0.0000 0.0000
0.0000 8.9143 0.0000
-4.4572 -4.4572 7.3830
Tb Nd Dy Ho
4 2 10 2
Direct
0.1130 0.3870 0.0000
0.6130 0.1130 0.0000
0.3870 0.8870 0.0000
0.8870 0.6130 0.0000
0.2500 0.2500 0.5000
0.7500 0.7500 0.5000
0.9271 0.4271 0.2660
0.6611 0.1611 0.7340
0.0729 0.5729 0.7340
0.1611 0.0729 0.7340
0.5729 0.6611 0.7340
0.8389 0.9271 0.2660
0.4271 0.3389 0.2660
0.3389 0.8389 0.2660
0.5000 0.5000 0.0000
0.0000 0.0000 0.0000
0.2500 0.7500 0.5000
0.7500 0.2500 0.5000
```

Computed properties:
space-group type	I4/mcm (140)
DFT formation energy	0.289	eV per atom
total energy	-4.3352	eV/atom
size of the total moment	0.00	μB per formula unit


No. 9
The following is a DFT calculation (GGA-PBE) of an optimized crystal structure of ReSb2TeI.

```
ReSb2TeI
1.0
5.8003 0.0000 0.0000
0.0000 5.8003 0.0000
0.0000 0.0000 5.6292
I Re Te Sb
1 1 1 2
Direct
0.0000 0.0000 0.0000
0.5000 0.5000 0.5000
0.0000 0.0000 0.5000
0.0000 0.5000 0.0000
0.5000 0.0000 0.0000
```

Computed properties:
space-group type	P4/mmm (123)
E_form (uncorrected)	10.49	eV per formula unit
total energy	-2.9784	eV/atom
size of the total moment	3.97	μB per formula unit
energy above the most stable polymorph in this dataset	7.96	eV/f.u.


No. 10
The following is a DFT calculation (GGA-PBE) of an optimized crystal structure of Be2NiAg.

```
Be2NiAg
1.0
3.9797 0.0123 0.0000
-0.0162 3.9796 0.0000
0.0000 0.0000 2.7599
Ni Ag Be
1 1 2
Direct
0.5000 0.0000 0.5000
0.0000 0.5000 0.5000
0.0000 0.0000 0.0000
0.5000 0.5000 0.0000
```

Computed properties:
space-group type	P4/mmm (123)
DFT formation energy	-0.036	eV per atom
total energy	-4.0573	eV/atom
size of the total moment	0.00	μB per formula unit
energy above the most stable polymorph in this dataset	0.40	eV/f.u.


No. 11
The following is a DFT calculation (GGA-PBE) of an optimized crystal structure of LiInPt4.

```
LiInPt4
1.0
0.0000 3.7675 3.7675
3.7675 0.0000 3.7675
3.7675 3.7675 0.0000
Li In Pt
1 1 4
Direct
0.0000 0.0000 0.0000
0.7500 0.7500 0.7500
0.8754 0.3749 0.3749
0.3749 0.3749 0.8754
0.3749 0.8754 0.3749
0.3749 0.3749 0.3749
```

Computed properties:
space-group type	F-43m (216)
DFT formation energy	-0.350	eV per atom
total energy	-5.1523	eV/atom
size of the total moment	0.00	μB per formula unit
energy above the most stable polymorph in this dataset	0.00	eV/f.u.


No. 12
The following is a DFT calculation (GGA-PBE) of an optimized crystal structure of Sc2BeTl.

```
Sc2BeTl
1.0
5.7587 0.0373 0.0174
4.7663 3.2322 0.0174
1.8693 0.5807 4.3415
Sc Be Tl
2 1 1
Direct
0.9752 0.9752 0.0285
0.7513 0.7513 0.7513
0.2360 0.2360 0.2516
0.5375 0.5375 0.4686
```

Computed properties:
space-group type	Cm (8)
DFT formation energy	-0.009	eV per atom
total energy	-4.6975	eV/atom
size of the total moment	0.00	μB per formula unit
energy above the most stable polymorph in this dataset	0.55	eV/f.u.


No. 13
The following is a DFT calculation (GGA-PBE) of an optimized crystal structure of Ag2BiSe2.

```
Ag2BiSe2
1.0
7.4577 0.6437 0.9287
-2.8740 5.6004 0.4613
-2.8740 -1.5338 5.4059
Ag Bi Se
4 2 4
Direct
0.0000 0.5000 0.5000
0.0000 0.0000 0.5000
0.5000 0.5000 0.5000
0.5000 0.5000 0.0000
0.2500 0.8457 0.1543
0.7500 0.1543 0.8457
0.2019 0.2908 0.1285
0.7981 0.7092 0.8715
0.2981 0.8715 0.7092
0.7019 0.1285 0.2908
```

Computed properties:
space-group type	C2/c (15)
E_form (uncorrected)	-0.17	eV per formula unit
total energy	-3.3440	eV/atom
size of the total moment	0.00	μB per formula unit
energy above the most stable polymorph in this dataset	0.00	eV/f.u.


No. 14
The following is a DFT calculation (GGA-PBE) of an optimized crystal structure of AcYHoSn.

```
AcYHoSn
1.0
5.5501 0.0000 0.0000
2.7750 4.8065 0.0000
2.7750 1.6022 4.5316
Y Ac Ho Sn
1 1 1 1
Direct
0.0000 0.0000 0.0000
0.2500 0.2500 0.2500
0.5000 0.5000 0.5000
0.7500 0.7500 0.7500
```

Computed properties:
space-group type	F-43m (216)
DFT formation energy	-0.161	eV per atom
total energy	-4.9497	eV/atom
size of the total moment	0.00	μB per formula unit


No. 15
The following is a DFT calculation (GGA-PBE) of an optimized crystal structure of SrCaCu2.

```
SrCaCu2
1.0
0.0000 3.6770 3.6770
3.6770 0.0000 3.6770
3.6770 3.6770 0.0000
Sr Ca Cu
1 1 2
Direct
0.5000 0.5000 0.5000
0.0000 0.0000 0.0000
0.2500 0.2500 0.2500
0.7500 0.7500 0.7500
```

Computed properties:
space-group type	Fm-3m (225)
DFT formation energy	0.004	eV per atom
total energy	-2.9650	eV/atom
size of the total moment	0.00	μB per formula unit
energy above the most stable polymorph in this dataset	0.45	eV/f.u.


No. 16
The following is a DFT calculation (GGA-PBE) of an optimized crystal structure of YW.

```
YW
1.0
12.4674 0.0000 0.0000
0.0000 12.4674 0.0000
0.0000 0.0000 3.2947
Y W
8 8
Direct
0.4499 0.8300 0.0000
0.5501 0.1700 0.0000
0.1700 0.4499 0.0000
0.8300 0.5501 0.0000
0.9499 0.3300 0.5000
0.0501 0.6700 0.5000
0.6700 0.9499 0.5000
0.3300 0.0501 0.5000
0.3212 0.2633 0.0000
0.6788 0.7367 0.0000
0.7367 0.3212 0.0000
0.2633 0.6788 0.0000
0.8212 0.7633 0.5000
0.1788 0.2367 0.5000
0.2367 0.8212 0.5000
0.7633 0.1788 0.5000
```

Computed properties:
space-group type	I4/m (87)
DFT formation energy	1.083	eV per atom
total energy	-8.6258	eV/atom
size of the total moment	0.00	μB per formula unit
energy above the most stable polymorph in this dataset	1.67	eV/f.u.


No. 17
The following is a DFT calculation (GGA-PBE) of an optimized crystal structure of Zr6CdBi.

```
Zr6CdBi
1.0
-7.3931 1.8995 -2.4974
-6.1867 -0.4063 5.0953
-4.0176 3.6200 1.7311
Zr Cd Bi
6 1 1
Direct
0.9997 0.5005 0.7454
0.7542 0.9998 0.7464
0.4997 0.2458 0.2545
0.2458 0.0002 0.2536
0.0003 0.4995 0.2546
0.5003 0.7542 0.7455
0.0000 0.0000 0.0000
0.5000 0.5000 0.5000
```

Computed properties:
space-group type	R-3 (148)
DFT formation energy	-0.143	eV per atom
total energy	-7.1540	eV/atom
size of the total moment	0.00	μB per formula unit
energy above the most stable polymorph in this dataset	0.00	eV/f.u.


No. 18
The following is a DFT calculation (GGA-PBE) of an optimized crystal structure of LaAl2Ag.

```
LaAl2Ag
1.0
9.9350 -0.0898 -0.0527
9.4423 3.0913 -0.0527
9.4423 1.4626 2.7239
Al Ag La
2 1 1
Direct
0.0113 0.0113 0.0113
0.4887 0.4887 0.4887
0.7500 0.7500 0.7500
0.2500 0.2500 0.2500
```

Computed properties:
space-group type	R-3m (166)
DFT formation energy	0.067	eV per atom
total energy	-3.7490	eV/atom
size of the total moment	0.61	μB per formula unit
energy above the most stable polymorph in this dataset	1.84	eV/f.u.


No. 19
The following is a DFT calculation (GGA-PBE) of an optimized crystal structure of Li3Pm2NdTe6.

```
Li3Pm2NdTe6
1.0
7.6987 -0.0014 0.0009
-3.8487 6.6677 0.0009
-1.2839 -2.2230 7.0900
Li Pm Nd Te
3 2 1 6
Direct
0.1668 0.8332 0.5000
0.8332 0.1668 0.5000
0.5000 0.5000 0.5000
0.3334 0.6666 0.0000
0.6666 0.3334 0.0000
0.0000 0.0000 0.0000
0.9130 0.5780 0.7388
0.7522 0.7522 0.2616
0.0870 0.4220 0.2612
0.5780 0.9130 0.7388
0.2478 0.2478 0.7384
0.4220 0.0870 0.2612
```

Computed properties:
space-group type	C2/m (12)
E_form (uncorrected)	-15.59	eV per formula unit
total energy	-4.5374	eV/atom
size of the total moment	0.00	μB per formula unit


No. 20
The following is a DFT calculation (GGA-PBE) of an optimized crystal structure of TbCdAuO4.

```
TbCdAuO4
1.0
6.4422 0.0000 0.0000
-3.2211 6.1402 -0.2827
0.0000 -3.5661 5.8645
Tb Cd Au O
2 2 2 8
Direct
0.5000 0.0000 0.5000
0.5000 0.0000 0.0000
0.8569 0.7139 0.1069
0.1431 0.2861 0.8931
0.5000 0.5000 0.5000
0.0000 0.5000 0.5000
0.7325 0.4650 0.6721
0.2405 0.9110 0.2055
0.6704 0.9110 0.2055
0.7325 0.4650 0.2929
0.2675 0.5350 0.7071
0.7595 0.0890 0.7945
0.3296 0.0890 0.7945
0.2675 0.5350 0.3279
```

Computed properties:
space-group type	Imma (74)
E_form (uncorrected)	-10.28	eV per formula unit
total energy	-5.5617	eV/atom
size of the total moment	0.00	μB per formula unit


No. 21
The following is a DFT calculation (GGA-PBE) of an optimized crystal structure of Pu2Th.

```
Pu2Th
1.0
3.2851 0.0000 0.0000
0.0000 3.2851 0.0000
-1.6425 -1.6425 6.2269
Th Pu
1 2
Direct
0.0000 0.0000 0.0000
0.7148 0.7148 0.4297
0.2852 0.2852 0.5703
```

Computed properties:
space-group type	I4/mmm (139)
DFT formation energy	0.300	eV per atom
total energy	-11.7279	eV/atom
size of the total moment	0.00	μB per formula unit
energy above the most stable polymorph in this dataset	0.36	eV/f.u.


No. 22
The following is a DFT calculation (GGA-PBE) of an optimized crystal structure of CsSb3Au4.

```
CsSb3Au4
1.0
3.4153 -0.0503 0.0482
0.1035 7.8722 0.9035
-0.1240 -0.9028 7.8721
Cs Sb Au
1 3 4
Direct
0.4999 0.5001 0.0002
0.4998 0.0000 0.5003
0.9999 0.0002 0.9997
0.0009 0.5002 0.4996
0.9998 0.7885 0.7114
0.0000 0.7891 0.2886
0.9998 0.2111 0.2887
0.9996 0.2118 0.7112
```

Computed properties:
space-group type	Pm (6)
E_form (uncorrected)	-0.22	eV per formula unit
total energy	-3.3187	eV/atom
size of the total moment	0.00	μB per formula unit


No. 23
The following is a DFT calculation (GGA-PBE) of an optimized crystal structure of KBe2Ag.

```
KBe2Ag
1.0
6.0119 -0.0344 0.0024
2.7778 5.3318 -0.0024
-3.4162 -4.2725 2.4939
Be K Ag
2 1 1
Direct
0.0545 0.0545 0.0000
0.4455 0.4455 0.0000
0.7500 0.2500 0.5000
0.2500 0.7500 0.5000
```

Computed properties:
space-group type	Immm (71)
DFT formation energy	0.800	eV per atom
total energy	-2.0508	eV/atom
size of the total moment	0.00	μB per formula unit
energy above the most stable polymorph in this dataset	2.14	eV/f.u.


No. 24
The following is a DFT calculation (GGA-PBE) of an optimized crystal structure of LiSmH6Ir.

```
LiSmH6Ir
1.0
-3.3919 0.5742 3.0003
0.4324 -1.5745 4.2628
1.7364 3.8147 1.2328
Li Sm H Ir
1 1 6 1
Direct
0.6666 0.6667 0.5000
0.0000 0.0000 0.0000
0.0227 0.4883 0.2310
0.4882 0.0228 0.7690
0.4889 0.4882 0.7690
0.0227 0.4890 0.7690
0.4882 0.4890 0.2310
0.4890 0.0228 0.2310
0.3333 0.3333 0.5000
```

Computed properties:
space-group type	P-6m2 (187)
total energy	-4.3849	eV/atom
size of the total moment	0.00	μB per formula unit


No. 25
The following is a DFT calculation (GGA-PBE) of an optimized crystal structure of Be2GaPd.

```
Be2GaPd
1.0
3.6451 0.0007 0.0004
-0.0005 3.6438 0.0000
-1.8225 -1.8227 3.5310
Be Ga Pd
2 1 1
Direct
0.6175 0.7649 0.1661
0.1178 0.2647 0.1661
0.3678 0.0149 0.6662
0.8679 0.5149 0.6662
```

Computed properties:
space-group type	I4/mmm (139)
DFT formation energy	-0.241	eV per atom
total energy	-4.1594	eV/atom
size of the total moment	0.00	μB per formula unit